Computed, not measured: an optimized crystal structure of CrAgTe2N at the PBE level of DFT.

Results
DOS(E_F) in states/eV per cell: 7.26
Relative energy among the computed polymorphs in meV/atom: 1458
Symmetry: P4/mmm (123)
Formation energy (no corrections) in meV per atom: 1652
Spin magnetization in μB per atom: 0.05

Cell: 5.4970 5.4970 3.8291 Å, 90.00 90.00 90.00°
Atoms (fractional coordinates):
1 Cr 0.0000 0.0000 0.0000
2 Ag 0.5000 0.5000 0.5000
3 Te 0.0000 0.5000 0.5000
4 Te 0.5000 0.0000 0.5000
5 N 0.5000 0.5000 0.0000